TlNiSb | GGA-PBEsol | relaxed

Computed properties:
The electronic total energy comes out at -4.422 eV per atom. The calculation puts the uncorrected formation energy at 0.026 eV per atom. The space group is F-43m. The density of states at the Fermi level is 0.4304 states/eV/atom.

The structure in POSCAR format:
```
TlNiSb
1.0
4.449 0.000 0.000
2.224 3.853 0.000
2.224 1.284 3.632
Ni Tl Sb
1 1 1
Cartesian
2.224 1.284 0.908
4.449 2.569 1.816
0.000 0.000 0.000
```


TlNiSb2 | GGA-PBEsol | relaxed

Computed properties:
The electronic total energy comes out at -4.493 eV per atom. The calculation puts the uncorrected formation energy at -0.017 eV per atom. The space group is Imm2. The density of states at the Fermi level is 0.4650 states/eV/atom. The energy relative to the lowest polymorph listed for this composition comes out at 0.33 eV/f.u.

The structure in POSCAR format:
```
TlNiSb2
1.0
3.203 0.000 0.000
0.000 3.236 0.000
-1.601 -1.618 9.020
Ni Sb Tl
1 2 1
Cartesian
0.000 1.618 5.387
1.601 0.000 4.125
1.601 1.618 7.419
1.601 1.618 1.110
```


TlNi2Sb | GGA-PBEsol | relaxed

Computed properties:
The electronic total energy comes out at -4.864 eV per atom. The calculation puts the uncorrected formation energy at 0.011 eV per atom. The space group is Amm2. The density of states at the Fermi level is 0.6022 states/eV/atom.

The structure in POSCAR format:
```
TlNi2Sb
1.0
3.436 0.000 0.000
0.000 3.939 0.000
-1.718 0.000 4.883
Tl Ni Sb
1 2 1
Cartesian
0.000 1.970 3.845
1.718 1.970 1.646
1.718 0.000 3.173
0.000 0.000 1.080
```


TlNiSb2 | GGA-PBEsol | relaxed

Computed properties:
The electronic total energy comes out at -4.386 eV per atom. The calculation puts the uncorrected formation energy at 0.089 eV per atom. The space group is Immm. The density of states at the Fermi level is 0.5762 states/eV/atom. The energy relative to the lowest polymorph listed for this composition comes out at 0.76 eV/f.u.

The structure in POSCAR format:
```
TlNiSb2
1.0
-0.229 3.000 -0.819
-1.754 1.218 4.950
6.101 -1.279 -0.459
Ni Sb Tl
1 2 1
Cartesian
-0.877 0.609 2.475
0.928 2.421 2.669
3.190 0.518 1.003
-0.115 1.500 -0.410
```


TlNiSb2 | GGA-PBEsol | relaxed

Computed properties:
The electronic total energy comes out at -4.575 eV per atom. The calculation puts the uncorrected formation energy at -0.100 eV per atom. The space group is R-3m. The density of states at the Fermi level is 0.5524 states/eV/atom. The energy relative to the lowest polymorph listed for this composition comes out at 0.00 eV/f.u.

The structure in POSCAR format:
```
TlNiSb2
1.0
3.922 0.000 0.000
1.961 3.397 0.000
1.961 1.132 7.108
Sb Tl Ni
2 1 1
Cartesian
1.961 1.132 2.383
5.884 3.397 4.725
0.000 0.000 0.000
3.922 2.265 3.554
```


TlNiSb2 | GGA-PBEsol | relaxed

Computed properties:
The electronic total energy comes out at -4.330 eV per atom. The calculation puts the uncorrected formation energy at 0.146 eV per atom. The space group is Pmm2. The density of states at the Fermi level is 0.4915 states/eV/atom. The energy relative to the lowest polymorph listed for this composition comes out at 0.98 eV/f.u.

The structure in POSCAR format:
```
TlNiSb2
1.0
-1.885 2.576 1.225
-2.358 -0.445 -2.693
-3.936 -4.903 4.256
Ni Tl Sb
1 1 2
Cartesian
-2.722 0.318 -0.086
-1.891 -2.355 2.044
-0.269 -0.334 0.290
-5.266 -2.852 2.666
```


TlNi2Sb | GGA-PBEsol | relaxed

Computed properties:
The electronic total energy comes out at -4.604 eV per atom. The calculation puts the uncorrected formation energy at 0.271 eV per atom. The space group is I-4m2. The density of states at the Fermi level is 0.8778 states/eV/atom.

The structure in POSCAR format:
```
TlNi2Sb
1.0
-1.493 3.020 -1.690
-1.277 -2.191 -2.788
-2.605 -1.075 4.584
Ni Tl Sb
2 1 1
Cartesian
-2.741 1.180 0.328
0.000 0.000 0.000
-2.633 -1.425 -0.222
-1.385 0.415 -2.239
```


TlNiSb | GGA-PBEsol | relaxed

Computed properties:
The electronic total energy comes out at -4.400 eV per atom. The calculation puts the uncorrected formation energy at 0.048 eV per atom. The space group is P3m1. The density of states at the Fermi level is 0.4887 states/eV/atom.

The structure in POSCAR format:
```
TlNiSb
1.0
-0.037 -3.441 0.638
1.008 2.232 2.500
-5.617 0.412 1.898
Tl Ni Sb
1 1 1
Cartesian
-1.294 -1.432 1.801
-5.507 0.404 1.861
-3.462 0.643 3.271
```


> Look up the electronic total energy of the fourth one.

-4.386 eV per atom


> Look up the electronic total energy of the first one.

-4.422 eV per atom